Material: KBaAs2
Method: DFT, PBE-GGA
State: optimized geometry

Unit cell a=5.518 b=5.518 c=5.518 alpha=60.00 beta=60.00 gamma=60.00
Fractional positions:
As: 0.000 0.000 0.000
As: 0.250 0.250 0.250
K: 0.750 0.750 0.750
Ba: 0.500 0.500 0.500

The space group is No. 216. For the energy of formation from the pure elements, the calculation gives -177 meV per atom. The total energy is -3.26 eV/atom. The value obtained for the density is 4.56 g cm⁻³. Its total moment is 0.00 μB per formula unit. The value obtained for the relative energy among the computed polymorphs is 49.1 kJ/mol of atoms.